No. 1
CsCdSi2Sb: optimized geometry, PBE-GGA.

Calculated values
Crystal system: tetragonal
Calculated density (Mg/m³): 3.42

a b c (Å): 5.6911 5.6911 6.3435
angles (deg): 90.00 90.00 90.00
Atoms (fractional coordinates):
Cs1 0.0000 0.0000 0.0000
Cd1 0.5000 0.5000 0.5000
Si1 0.0000 0.5000 0.0000
Si2 0.5000 0.0000 0.0000
Sb1 0.0000 0.0000 0.5000


No. 2
Ni5Au3Br12: optimized geometry, PBE-GGA.

Calculated values
Crystal system: cubic
Calculated density (Mg/m³): 5.93

a b c (Å): 13.8965 13.8965 13.8965
angles (deg): 109.47 109.47 109.47
Atoms (fractional coordinates):
Ni1 0.0000 0.0000 0.0000
Ni2 0.0000 0.0000 0.5000
Ni3 0.0000 0.5000 0.0000
Ni4 0.0000 0.5000 0.5000
Ni5 0.1250 0.7500 0.8750
Ni6 0.1250 0.8750 0.2500
Ni7 0.2500 0.1250 0.8750
Ni8 0.2500 0.6250 0.3750
Ni9 0.3750 0.2500 0.6250
Ni10 0.3750 0.6250 0.7500
Ni11 0.5000 0.0000 0.0000
Ni12 0.5000 0.0000 0.5000
Ni13 0.5000 0.5000 0.0000
Ni14 0.5000 0.5000 0.5000
Ni15 0.6250 0.3750 0.2500
Ni16 0.6250 0.7500 0.3750
Ni17 0.7500 0.3750 0.6250
Ni18 0.7500 0.8750 0.1250
Ni19 0.8750 0.1250 0.7500
Ni20 0.8750 0.2500 0.1250
Au1 0.1250 0.2500 0.3750
Au2 0.1250 0.3750 0.7500
Au3 0.2500 0.3750 0.1250
Au4 0.2500 0.8750 0.6250
Au5 0.3750 0.1250 0.2500
Au6 0.3750 0.7500 0.1250
Au7 0.6250 0.2500 0.8750
Au8 0.6250 0.8750 0.7500
Au9 0.7500 0.1250 0.3750
Au10 0.7500 0.6250 0.8750
Au11 0.8750 0.6250 0.2500
Au12 0.8750 0.7500 0.6250
Br1 0.0142 0.1855 0.1339
Br2 0.0142 0.3287 0.8803
Br3 0.0516 0.6855 0.6713
Br4 0.0516 0.8661 0.3803
Br5 0.1197 0.6339 0.4484
Br6 0.1197 0.9858 0.6713
Br7 0.1339 0.0142 0.1855
Br8 0.1339 0.6197 0.9484
Br9 0.1713 0.1855 0.5516
Br10 0.1713 0.4858 0.6197
Br11 0.1855 0.1339 0.0142
Br12 0.1855 0.5516 0.1713
Br13 0.3145 0.3287 0.9484
Br14 0.3145 0.4858 0.3661
Br15 0.3287 0.8803 0.0142
Br16 0.3287 0.9484 0.3145
Br17 0.3661 0.3145 0.4858
Br18 0.3661 0.5516 0.8803
Br19 0.3803 0.0516 0.8661
Br20 0.3803 0.8287 0.5142
Br21 0.4484 0.1197 0.6339
Br22 0.4484 0.8287 0.8145
Br23 0.4858 0.3661 0.3145
Br24 0.4858 0.6197 0.1713
Br25 0.5142 0.3803 0.8287
Br26 0.5142 0.6339 0.6855
Br27 0.5516 0.1713 0.1855
Br28 0.5516 0.8803 0.3661
Br29 0.6197 0.1713 0.4858
Br30 0.6197 0.9484 0.1339
Br31 0.6339 0.4484 0.1197
Br32 0.6339 0.6855 0.5142
Br33 0.6713 0.0516 0.6855
Br34 0.6713 0.1197 0.9858
Br35 0.6855 0.5142 0.6339
Br36 0.6855 0.6713 0.0516
Br37 0.8145 0.4484 0.8287
Br38 0.8145 0.8661 0.9858
Br39 0.8287 0.5142 0.3803
Br40 0.8287 0.8145 0.4484
Br41 0.8661 0.3803 0.0516
Br42 0.8661 0.9858 0.8145
Br43 0.8803 0.0142 0.3287
Br44 0.8803 0.3661 0.5516
Br45 0.9484 0.1339 0.6197
Br46 0.9484 0.3145 0.3287
Br47 0.9858 0.6713 0.1197
Br48 0.9858 0.8145 0.8661


DOS at the Fermi energy readings, ordered: 6.78; 13.69 states/eV/f.u.
E_form (uncorrected) readings, ordered: 1.932; -0.054 eV per atom